[1]
Entry from Alexandria via LeMat-Bulk: crystalline Tl4Hg2Se at its relaxed geometry (PBE).

Values from the calculation:
Total magnetic moment   0.00 μB per cell
Energy relative to the elements, uncorrected   -0.11 eV per atom
V   438.9 Å³/cell

abc: 7.267 8.342 8.354
angles: 68.36 75.60 70.36
Element x y z (fractional)
Tl 0.000 0.000 0.000
Tl 0.011 0.565 0.966
Tl 0.336 0.155 0.065
Tl 0.425 0.112 0.481
Tl 0.454 0.501 0.618
Tl 0.481 0.732 0.864
Tl 0.887 0.731 0.513
Tl 0.936 0.282 0.424
Hg 0.267 0.583 0.258
Hg 0.621 0.761 0.223
Hg 0.673 0.322 0.106
Hg 0.677 0.062 0.767
Se 0.105 0.342 0.712
Se 0.132 0.879 0.646

---

[2]
Entry from Alexandria via LeMat-Bulk: crystalline SrTcC at its relaxed geometry (PBE).

Values from the calculation:
Total magnetic moment   0.00 μB per cell
V   106.6 Å³/cell
E_form   0.227 eV per atom

abc: 6.052 6.052 3.137
angles: 90.00 90.00 111.85
Element x y z (fractional)
Sr 0.220 0.780 0.000
Sr 0.780 0.220 0.000
Tc 0.293 0.293 0.500
Tc 0.707 0.707 0.500
C 0.000 0.000 0.500
C 0.500 0.500 0.000

---

[3]
Entry from Alexandria via LeMat-Bulk: crystalline AgPd2PtAu4 at its relaxed geometry (PBE).

Values from the calculation:
Total magnetic moment   0.00 μB per cell
V   135.5 Å³/cell
E_form   -0.044 eV per atom

abc: 4.057 4.087 8.173
angles: 90.00 90.27 90.00
Element x y z (fractional)
Ag 0.000 0.000 0.000
Pd 0.000 0.000 0.500
Pd 0.500 0.500 0.000
Pt 0.500 0.500 0.500
Au 0.000 0.500 0.253
Au 0.000 0.500 0.747
Au 0.500 0.000 0.252
Au 0.500 0.000 0.748

---

[4]
Entry from Alexandria via LeMat-Bulk: crystalline Ce2AlPd at its relaxed geometry (PBE).

Values from the calculation:
Total magnetic moment   0.00 μB per cell
V   88.4 Å³/cell
E_form   -0.449 eV per atom

abc: 3.188 3.188 8.698
angles: 90.00 90.00 90.00
Element x y z (fractional)
Ce 0.000 0.000 0.240
Ce 0.000 0.000 0.760
Al 0.500 0.500 0.500
Pd 0.500 0.500 0.000

---

[5]
Entry from Alexandria via LeMat-Bulk: crystalline SiRu3I at its relaxed geometry (PBE).

Values from the calculation:
Total magnetic moment   3.70 μB per cell
Energy relative to the elements, uncorrected   2.00 eV per atom
V   112.8 Å³/cell

abc: 4.831 4.831 4.831
angles: 90.00 90.00 90.00
Element x y z (fractional)
Si 0.000 0.000 0.000
Ru 0.000 0.500 0.500
Ru 0.500 0.000 0.500
Ru 0.500 0.500 0.000
I 0.500 0.500 0.500

---

[6]
Entry from Alexandria via LeMat-Bulk: crystalline CaZr2Br at its relaxed geometry (PBE).

Values from the calculation:
Total magnetic moment   0.00 μB per cell
Energy relative to the elements, uncorrected   -0.31 eV per atom
V   113.4 Å³/cell

abc: 3.374 3.374 9.962
angles: 90.00 90.00 90.00
Element x y z (fractional)
Ca 0.000 0.000 0.000
Zr 0.000 0.000 0.480
Zr 0.500 0.500 0.286
Br 0.500 0.500 0.820

---

[7]
Entry from Alexandria via LeMat-Bulk: crystalline Ba2InGa4Sn3 at its relaxed geometry (PBE).

Values from the calculation:
Total magnetic moment   0.00 μB per cell
V   279.6 Å³/cell
E_form   -0.379 eV per atom

abc: 5.109 5.109 10.709
angles: 90.00 90.00 90.00
Element x y z (fractional)
Ba 0.000 0.500 0.245
Ba 0.500 0.000 0.755
In 0.000 0.000 0.500
Ga 0.000 0.000 0.000
Ga 0.000 0.500 0.622
Ga 0.500 0.000 0.378
Ga 0.500 0.500 0.000
Sn 0.000 0.500 0.879
Sn 0.500 0.000 0.121
Sn 0.500 0.500 0.500

---

[8]
Entry from Alexandria via LeMat-Bulk: crystalline La2TlN at its relaxed geometry (PBE).

Values from the calculation:
Total magnetic moment   0.64 μB per cell
Energy relative to the elements, uncorrected   -0.83 eV per atom
V   103.6 Å³/cell

abc: 8.827 8.827 8.827
angles: 24.45 24.45 24.45
Element x y z (fractional)
La 0.222 0.222 0.222
La 0.778 0.778 0.778
Tl 0.000 0.000 0.000
N 0.500 0.500 0.500

---

Which value of total magnetic moment does entry 7 give? 0.00 μB per cell

---

What is the total magnetic moment in the third record? 0.00 μB per cell